4
Lattice="-1.8312 2.9937 -0.2207 -2.7563 -1.7793 -1.2654 -3.1115 -1.2717 8.5655" Properties=species:S:1:pos:R:3 comment="LaSm2Fe PBE-GGA optimized geometry" crystal_system=tetragonal polymorph_energy_mev_per_atom=0 ef_ev_per_atom=0.139 rho_g_cm3=7.232 sg=P4/mmm pbc="T T T"
Sm -2.5503 -1.0423 7.0206
Sm -0.5612 -0.2294 1.5449
La -3.8495 -0.0286 3.5397
Fe -2.2937 0.6072 -0.7431